Record 1
Material: GaBiO3
Method: DFT, PBEsol
State: optimized geometry

Unit cell a=5.519 b=5.519 c=5.554 alpha=60.21 beta=60.21 gamma=60.00
Fractional positions:
1 O 0.726 0.186 0.768
2 O 0.186 0.319 0.768
3 O 0.319 0.726 0.768
4 O 0.686 0.226 0.268
5 O 0.819 0.686 0.268
6 O 0.226 0.819 0.268
7 Bi 0.784 0.784 0.647
8 Bi 0.284 0.284 0.147
9 Ga 0.511 0.511 0.467
10 Ga 0.011 0.011 0.967

Computed properties:
**Energy relative to the elements, uncorrected**: -1560.3 meV/atom

***

Record 2
Material: NbInSe2
Method: DFT, PBEsol
State: optimized geometry

Unit cell a=3.397 b=3.397 c=9.159 alpha=90.00 beta=90.00 gamma=120.00
Fractional positions:
1 Nb 0.000 0.000 0.500
2 Se 0.333 0.667 0.317
3 Se 0.333 0.667 0.683
4 In 0.333 0.667 0.000

Computed properties:
**Energy relative to the elements, uncorrected**: -715.0 meV/atom

***

Record 3
Material: Zr2CuHg
Method: DFT, PBEsol
State: optimized geometry

Unit cell a=3.142 b=4.935 c=5.686 alpha=116.09 beta=106.04 gamma=90.00
Fractional positions:
1 Cu 0.503 0.470 0.007
2 Hg 0.223 0.749 0.446
3 Zr 0.002 0.982 0.004
4 Zr 0.772 0.298 0.543

Computed properties:
**Energy of formation**: -111 meV per atom

***

Record 4
Material: LiAg2Te2
Method: DFT, PBEsol
State: optimized geometry

Unit cell a=5.428 b=5.741 c=5.428 alpha=61.79 beta=90.00 gamma=118.21
Fractional positions:
1 Te 0.750 0.500 0.750
2 Te 0.250 0.500 0.250
3 Ag 0.669 0.339 0.331
4 Ag 0.331 0.661 0.669
5 Li 0.000 0.000 0.000

Computed properties:
**Energy relative to the elements, uncorrected**: -90.4 meV/atom

***

Record 5
Material: Li3SbF
Method: DFT, PBEsol
State: optimized geometry

Unit cell a=5.206 b=5.206 c=5.206 alpha=90.00 beta=90.00 gamma=90.00
Fractional positions:
1 Sb 0.000 0.000 0.000
2 Li 0.000 0.500 0.000
3 Li 0.000 0.000 0.500
4 Li 0.500 0.000 0.000
5 F 0.500 0.500 0.500

Computed properties:
**Distance to the lowest polymorph of the same formula**: 453.7 kJ/mol of formula units
**Energy relative to the elements, uncorrected**: -473.1 meV/atom

***

Record 6
Material: SrLi
Method: DFT, PBEsol
State: optimized geometry

Unit cell a=4.012 b=4.012 c=9.000 alpha=90.00 beta=90.00 gamma=90.00
Fractional positions:
1 Sr 0.500 0.000 0.675
2 Sr 0.000 0.500 0.325
3 Li 0.500 0.000 0.067
4 Li 0.000 0.500 0.933

Computed properties:
**Distance to the lowest polymorph of the same formula**: 0.1 kJ/mol of formula units
**Energy of formation**: 27 meV per atom

***

Record 7
Material: CaH2Os
Method: DFT, PBEsol
State: optimized geometry

Unit cell a=3.959 b=3.959 c=3.959 alpha=60.00 beta=60.00 gamma=60.00
Fractional positions:
1 H 0.250 0.250 0.250
2 H 0.750 0.750 0.750
3 Ca 0.000 0.000 0.000
4 Os 0.500 0.500 0.500

***

Record 8
Material: Sr2TeCl
Method: DFT, PBEsol
State: optimized geometry

Unit cell a=4.500 b=4.500 c=6.319 alpha=90.00 beta=90.00 gamma=90.00
Fractional positions:
1 Sr 0.500 0.500 0.000
2 Sr 0.000 0.000 0.500
3 Te 0.000 0.000 0.000
4 Cl 0.500 0.500 0.500

Computed properties:
**Distance to the lowest polymorph of the same formula**: 7.0 kJ/mol of formula units
**Energy relative to the elements, uncorrected**: -1666.1 meV/atom

***

Record 9
Material: ZnCd2Si
Method: DFT, PBEsol
State: optimized geometry

Unit cell a=4.727 b=4.727 c=4.727 alpha=60.00 beta=60.00 gamma=60.00
Fractional positions:
1 Cd 0.000 0.000 0.000
2 Cd 0.250 0.250 0.250
3 Si 0.500 0.500 0.500
4 Zn 0.750 0.750 0.750

Computed properties:
**Distance to the lowest polymorph of the same formula**: 38.5 kJ/mol of formula units
**Energy relative to the elements, uncorrected**: 329.0 meV/atom

***

Record 10
Material: Ag2Hg
Method: DFT, PBEsol
State: optimized geometry

Unit cell a=5.454 b=5.454 c=5.454 alpha=60.00 beta=60.00 gamma=60.00
Fractional positions:
1 Hg 0.750 0.750 0.750
2 Hg 0.500 0.500 0.500
3 Ag 0.125 0.125 0.625
4 Ag 0.125 0.625 0.125
5 Ag 0.125 0.125 0.125
6 Ag 0.625 0.125 0.125

Computed properties:
**Distance to the lowest polymorph of the same formula**: 27.6 kJ/mol of formula units
**Energy of formation**: 98 meV per atom

***

Record 11
Material: BaTc2Au
Method: DFT, PBEsol
State: optimized geometry

Unit cell a=4.787 b=4.787 c=4.787 alpha=60.00 beta=60.00 gamma=60.00
Fractional positions:
1 Au 0.500 0.500 0.500
2 Ba 0.250 0.250 0.250
3 Tc 0.000 0.000 0.000
4 Tc 0.750 0.750 0.750

Computed properties:
**Energy of formation**: 1047 meV per atom

***

Record 12
Material: BMo2S
Method: DFT, PBEsol
State: optimized geometry

Unit cell a=5.037 b=5.037 c=6.136 alpha=114.23 beta=114.23 gamma=90.00
Fractional positions:
1 Mo 0.413 0.875 0.250
2 Mo 0.837 0.375 0.250
3 Mo 0.125 0.163 0.750
4 Mo 0.625 0.587 0.750
5 B 0.750 0.250 0.500
6 B 0.500 0.500 0.000
7 S 0.250 0.750 0.500
8 S 0.000 0.000 0.000

Computed properties:
**Energy relative to the elements, uncorrected**: 410.0 meV/atom

***

Record 13
Material: SrGeW3
Method: DFT, PBEsol
State: optimized geometry

Unit cell a=4.729 b=4.729 c=4.729 alpha=90.00 beta=90.00 gamma=90.00
Fractional positions:
1 Sr 0.500 0.500 0.500
2 Ge 0.000 0.000 0.000
3 W 0.000 0.500 0.000
4 W 0.000 0.000 0.500
5 W 0.500 0.000 0.000

Computed properties:
**Energy of formation**: 1643 meV per atom

***

Record 14
Material: YNbSbTe2
Method: DFT, PBEsol
State: optimized geometry

Unit cell a=5.617 b=5.617 c=5.602 alpha=90.00 beta=90.00 gamma=90.00
Fractional positions:
1 Y 0.000 0.000 0.000
2 Sb 0.000 0.000 0.500
3 Nb 0.500 0.500 0.500
4 Te 0.000 0.500 0.000
5 Te 0.500 0.000 0.000

Computed properties:
**Energy relative to the elements, uncorrected**: 775.5 meV/atom

***

Record 15
Material: CaScSb2
Method: DFT, PBEsol
State: optimized geometry

Unit cell a=5.237 b=5.237 c=5.237 alpha=60.00 beta=60.00 gamma=60.00
Fractional positions:
1 Sc 0.250 0.250 0.250
2 Sb 0.000 0.000 0.000
3 Sb 0.750 0.750 0.750
4 Ca 0.500 0.500 0.500

Computed properties:
**Distance to the lowest polymorph of the same formula**: 241.4 kJ/mol of formula units
**Energy relative to the elements, uncorrected**: -242.3 meV/atom

***

| no. | calculated total energy (eV/atom) | DOS at the Fermi energy (states/eV/cell) |
| --- | --- | --- |
| 1 | -6.2349 | 0.0 |
| 2 | -6.0912 | 1.6 |
| 3 | -5.8816 | 3.6 |
| 4 | -3.2186 | 1.6 |
| 5 | -2.9501 | 8.0 |
| 6 | -1.8761 | 4.5 |
| 7 | -4.4274 | 3.6 |
| 8 | -3.9698 | 1.9 |
| 9 | -2.1016 | 1.5 |
| 10 | -2.2985 | 1.2 |
| 11 | -6.1046 | 5.6 |
| 12 | -8.3241 | 8.5 |
| 13 | -7.9972 | 5.7 |
| 14 | -5.0751 | 5.2 |
| 15 | -4.7055 | 4.2 |